# 1
Compound: Mg3Ga2CuRh3
Source: the Alexandria database
Functional: PBE
Structure: relaxed

Structure (CIF):
```
data_Mg3Ga2CuRh3
_chemical_formula_sum 'Mg3 Ga2 Cu1 Rh3'
_cell_length_a 2.933
_cell_length_b 7.292
_cell_length_c 7.292
_cell_angle_alpha 120.00
_cell_angle_beta 90.00
_cell_angle_gamma 90.00
_symmetry_space_group_name_H-M 'P 1'
_symmetry_Int_Tables_number 1
_symmetry_space_group_name_Hall 'P 1'
loop_
_atom_site_label
_atom_site_type_symbol
_atom_site_fract_x
_atom_site_fract_y
_atom_site_fract_z
Rh1 Rh 0.000 0.000 0.382
Ga1 Ga 0.500 0.667 0.333
Cu1 Cu 0.000 0.000 0.000
Mg1 Mg 0.500 0.000 0.719
Rh2 Rh 0.000 0.618 0.618
Mg2 Mg 0.500 0.719 0.000
Ga2 Ga 0.500 0.333 0.667
Mg3 Mg 0.500 0.281 0.281
Rh3 Rh 0.000 0.382 0.000
```

Properties
electronic total energy	-4.569	eV per atom
calculated formation energy	-399	kJ/mol of formula units
spin magnetization	0.000	μB/atom

# 2
Compound: ErLuGeAu
Source: the Alexandria database
Functional: PBE
Structure: relaxed

Structure (CIF):
```
data_ErLuGeAu
_chemical_formula_sum 'Er1 Lu1 Ge1 Au1'
_cell_length_a 5.010
_cell_length_b 5.010
_cell_length_c 5.010
_cell_angle_alpha 60.00
_cell_angle_beta 60.00
_cell_angle_gamma 60.00
_symmetry_space_group_name_H-M 'P 1'
_symmetry_Int_Tables_number 1
_symmetry_space_group_name_Hall 'P 1'
loop_
_atom_site_label
_atom_site_type_symbol
_atom_site_fract_x
_atom_site_fract_y
_atom_site_fract_z
Au1 Au 0.750 0.750 0.750
Lu1 Lu 0.500 0.500 0.500
Ge1 Ge 0.250 0.250 0.250
Er1 Er 0.000 0.000 0.000
```

Properties
electronic total energy	-4.983	eV per atom
calculated formation energy	-285	kJ/mol of formula units
spin magnetization	0.001	μB/atom

# 3
Compound: TaAlTe2Au
Source: the Alexandria database
Functional: PBE
Structure: relaxed

Structure (CIF):
```
data_TaAlTe2Au
_chemical_formula_sum 'Ta1 Al1 Te2 Au1'
_cell_length_a 5.305
_cell_length_b 4.704
_cell_length_c 5.305
_cell_angle_alpha 90.00
_cell_angle_beta 90.00
_cell_angle_gamma 90.00
_symmetry_space_group_name_H-M 'P 1'
_symmetry_Int_Tables_number 1
_symmetry_space_group_name_Hall 'P 1'
loop_
_atom_site_label
_atom_site_type_symbol
_atom_site_fract_x
_atom_site_fract_y
_atom_site_fract_z
Au1 Au 0.000 0.500 0.000
Te1 Te 0.500 0.000 0.000
Al1 Al 0.000 0.000 0.000
Te2 Te 0.000 0.000 0.500
Ta1 Ta 0.500 0.500 0.500
```

Properties
electronic total energy	-4.102	eV per atom
spin magnetization	0.531	μB/atom
formation energy without anion corrections	0.929	eV/atom

# 4
Compound: LiCu4Se
Source: the Alexandria database
Functional: PBE
Structure: relaxed

Structure (CIF):
```
data_LiCu4Se
_chemical_formula_sum 'Li1 Cu4 Se1'
_cell_length_a 4.950
_cell_length_b 4.950
_cell_length_c 4.950
_cell_angle_alpha 60.00
_cell_angle_beta 60.00
_cell_angle_gamma 60.00
_symmetry_space_group_name_H-M 'P 1'
_symmetry_Int_Tables_number 1
_symmetry_space_group_name_Hall 'P 1'
loop_
_atom_site_label
_atom_site_type_symbol
_atom_site_fract_x
_atom_site_fract_y
_atom_site_fract_z
Li1 Li 0.750 0.750 0.750
Cu1 Cu 0.376 0.376 0.376
Cu2 Cu 0.376 0.872 0.376
Se1 Se 0.000 0.000 0.000
Cu3 Cu 0.376 0.376 0.872
Cu4 Cu 0.872 0.376 0.376
```

Properties
electronic total energy	-3.658	eV per atom
spin magnetization	0.000	μB/atom
formation energy without anion corrections	-0.028	eV/atom

# 5
Compound: AcRe2O8
Source: the Alexandria database
Functional: PBE
Structure: relaxed

Structure (CIF):
```
data_AcRe2O8
_chemical_formula_sum 'Ac1 Re2 O8'
_cell_length_a 6.487
_cell_length_b 6.089
_cell_length_c 6.089
_cell_angle_alpha 52.45
_cell_angle_beta 72.33
_cell_angle_gamma 72.33
_symmetry_space_group_name_H-M 'P 1'
_symmetry_Int_Tables_number 1
_symmetry_space_group_name_Hall 'P 1'
loop_
_atom_site_label
_atom_site_type_symbol
_atom_site_fract_x
_atom_site_fract_y
_atom_site_fract_z
O1 O 0.396 0.840 0.840
O2 O 0.819 0.621 0.621
Re1 Re 0.310 0.208 0.208
O3 O 0.604 0.160 0.160
Ac1 Ac 0.000 0.000 0.000
O4 O 0.181 0.379 0.379
O5 O 0.790 0.623 0.110
O6 O 0.210 0.377 0.890
Re2 Re 0.690 0.792 0.792
O7 O 0.790 0.110 0.623
O8 O 0.210 0.890 0.377
```

Properties
electronic total energy	-8.201	eV per atom
excess energy over the best structure of this formula in the dataset	136	meV/atom
spin magnetization	0.084	μB/atom
formation energy without anion corrections	-1.958	eV/atom

# 6
Compound: NaCuBi2
Source: the Alexandria database
Functional: PBE
Structure: relaxed

Structure (CIF):
```
data_NaCuBi2
_chemical_formula_sum 'Na1 Cu1 Bi2'
_cell_length_a 4.178
_cell_length_b 4.178
_cell_length_c 7.795
_cell_angle_alpha 74.46
_cell_angle_beta 74.46
_cell_angle_gamma 60.00
_symmetry_space_group_name_H-M 'P 1'
_symmetry_Int_Tables_number 1
_symmetry_space_group_name_Hall 'P 1'
loop_
_atom_site_label
_atom_site_type_symbol
_atom_site_fract_x
_atom_site_fract_y
_atom_site_fract_z
Cu1 Cu 0.666 0.666 0.002
Bi1 Bi 0.274 0.274 0.179
Na1 Na 0.501 0.501 0.496
Bi2 Bi 0.059 0.059 0.822
```

Properties
electronic total energy	-3.291	eV per atom
excess energy over the best structure of this formula in the dataset	0	meV/atom
calculated formation energy	1	kJ/mol of formula units
spin magnetization	0.000	μB/atom

# 7
Compound: Tb3Pr4In4
Source: the Alexandria database
Functional: PBE
Structure: relaxed

Structure (CIF):
```
data_Tb3Pr4In4
_chemical_formula_sum 'Tb3 Pr4 In4'
_cell_length_a 3.656
_cell_length_b 9.518
_cell_length_c 11.057
_cell_angle_alpha 115.49
_cell_angle_beta 99.52
_cell_angle_gamma 90.00
_symmetry_space_group_name_H-M 'P 1'
_symmetry_Int_Tables_number 1
_symmetry_space_group_name_Hall 'P 1'
loop_
_atom_site_label
_atom_site_type_symbol
_atom_site_fract_x
_atom_site_fract_y
_atom_site_fract_z
Tb1 Tb 0.907 0.907 0.814
Pr1 Pr 0.662 0.488 0.325
In1 In 0.500 0.220 0.000
In2 In 0.277 0.777 0.553
In3 In 0.723 0.223 0.447
Pr2 Pr 0.338 0.163 0.675
Tb2 Tb 0.093 0.093 0.186
Pr3 Pr 0.338 0.512 0.675
Tb3 Tb 0.000 0.500 0.000
In4 In 0.500 0.780 0.000
Pr4 Pr 0.662 0.837 0.325
```

Properties
electronic total energy	-4.316	eV per atom
calculated formation energy	-339	kJ/mol of formula units
spin magnetization	0.000	μB/atom

# 8
Compound: GdHoHgPb
Source: the Alexandria database
Functional: PBE
Structure: relaxed

Structure (CIF):
```
data_GdHoHgPb
_chemical_formula_sum 'Gd1 Ho1 Hg1 Pb1'
_cell_length_a 5.356
_cell_length_b 5.356
_cell_length_c 5.356
_cell_angle_alpha 60.00
_cell_angle_beta 60.00
_cell_angle_gamma 60.00
_symmetry_space_group_name_H-M 'P 1'
_symmetry_Int_Tables_number 1
_symmetry_space_group_name_Hall 'P 1'
loop_
_atom_site_label
_atom_site_type_symbol
_atom_site_fract_x
_atom_site_fract_y
_atom_site_fract_z
Gd1 Gd 0.000 0.000 0.000
Hg1 Hg 0.750 0.750 0.750
Pb1 Pb 0.250 0.250 0.250
Ho1 Ho 0.500 0.500 0.500
```

Properties
electronic total energy	-6.137	eV per atom
calculated formation energy	-181	kJ/mol of formula units
spin magnetization	1.895	μB/atom